## Na3TlSi (PBE-GGA)

Data for a geometry-optimized Na3TlSi structure.

Summary:
Symmetry: Pm-3m (221)
Polymorph energy (0 for the lowest one): 0.0000 eV/atom

Cell: 5.5836 5.5836 5.5836 Å, 90.00 90.00 90.00°
Atoms (fractional coordinates):
Na 0.0000 0.5000 0.0000
Na 0.0000 0.0000 0.5000
Na 0.5000 0.0000 0.0000
Tl 0.5000 0.5000 0.5000
Si 0.0000 0.0000 0.0000